# PBE CaAu4Br, relaxed
data_CaAu4Br
_cell_length_a 8.0364
_cell_length_b 8.0364
_cell_length_c 8.0364
_cell_angle_alpha 90.00
_cell_angle_beta 90.00
_cell_angle_gamma 90.00
_symmetry_space_group_name_H-M 'F -4 3 m'
_symmetry_Int_Tables_number 216
_symmetry_space_group_name_Hall 'F -4 2 3'
loop_
_atom_site_label
_atom_site_type_symbol
_atom_site_fract_x
_atom_site_fract_y
_atom_site_fract_z
Ca1 Ca 0.0000 0.0000 0.0000
Au1 Au 0.1249 0.1249 0.6249
Br1 Br 0.2500 0.2500 0.2500
# raw formation energy = -0.44 eV per atom
# electronic total energy = -3.242 eV per atom
# crystal system = cubic

=====

# PBE LiCrP3, relaxed
data_LiCrP3
_cell_length_a 4.4837
_cell_length_b 4.4837
_cell_length_c 4.4837
_cell_angle_alpha 90.00
_cell_angle_beta 90.00
_cell_angle_gamma 90.00
_symmetry_space_group_name_H-M 'P m -3 m'
_symmetry_Int_Tables_number 221
_symmetry_space_group_name_Hall '-P 4 2 3'
loop_
_atom_site_label
_atom_site_type_symbol
_atom_site_fract_x
_atom_site_fract_y
_atom_site_fract_z
Li1 Li 0.0000 0.0000 0.0000
Cr1 Cr 0.5000 0.5000 0.5000
P1 P 0.0000 0.5000 0.5000
# electronic total energy = -5.340 eV per atom
# energy relative to the elements = 1.07 eV per formula unit
# crystal system = cubic

=====

# PBE Ta4InAg, relaxed
data_Ta4InAg
_cell_length_a 7.8089
_cell_length_b 7.8089
_cell_length_c 7.8089
_cell_angle_alpha 90.00
_cell_angle_beta 90.00
_cell_angle_gamma 90.00
_symmetry_space_group_name_H-M 'F -4 3 m'
_symmetry_Int_Tables_number 216
_symmetry_space_group_name_Hall 'F -4 2 3'
loop_
_atom_site_label
_atom_site_type_symbol
_atom_site_fract_x
_atom_site_fract_y
_atom_site_fract_z
Ta1 Ta 0.1255 0.1255 0.1255
In1 In 0.0000 0.0000 0.5000
Ag1 Ag 0.2500 0.2500 0.7500
# electronic total energy = -8.349 eV per atom
# energy relative to the elements = 2.91 eV per formula unit
# crystal system = cubic

=====

- The highest electronic total energy belongs to which entry?
  CaAu4Br